VASP calculation (GGA-PBE) on a relaxed InCu2Tc crystal.

Properties
SG: P4mm
D(E_F) (states/eV/cell): 2.8
Volume (Å³ per cell): 60
Formation energy from the elements (meV/atom): 256

Geometry as CIF:
```
data_InCu2Tc
_space_group_name_H-M_alt 'P 1'
_space_group_IT_number 1
_space_group_name_Hall 'P 1'
_cell_length_a 2.935
_cell_length_b 2.935
_cell_length_c 6.916
_cell_angle_alpha 90.00
_cell_angle_beta 90.00
_cell_angle_gamma 90.00
loop_
_atom_site_label
_atom_site_type_symbol
_atom_site_fract_x
_atom_site_fract_y
_atom_site_fract_z
Tc1 Tc 0.500 0.500 0.784
Cu1 Cu 0.500 0.500 0.214
Cu2 Cu 0.000 0.000 0.013
In1 In 0.000 0.000 0.489
```

---

VASP calculation (GGA-PBE) on a relaxed Cr2FeCo crystal.

Properties
SG: I-42d
D(E_F) (states/eV/cell): 12.1
Volume (Å³ per cell): 95
Formation energy from the elements (meV/atom): 635

Geometry as CIF:
```
data_Cr2FeCo
_space_group_name_H-M_alt 'P 1'
_space_group_IT_number 1
_space_group_name_Hall 'P 1'
_cell_length_a 6.287
_cell_length_b 6.287
_cell_length_c 5.054
_cell_angle_alpha 51.54
_cell_angle_beta 51.54
_cell_angle_gamma 90.00
loop_
_atom_site_label
_atom_site_type_symbol
_atom_site_fract_x
_atom_site_fract_y
_atom_site_fract_z
Cr1 Cr 0.625 0.125 0.250
Cr2 Cr 0.125 0.625 0.250
Cr3 Cr 0.875 0.875 0.750
Cr4 Cr 0.375 0.375 0.750
Co1 Co 0.000 0.000 0.000
Co2 Co 0.750 0.250 0.500
Fe1 Fe 0.500 0.500 0.000
Fe2 Fe 0.250 0.750 0.500
```

---

VASP calculation (GGA-PBE) on a relaxed AcPm5Ru2 crystal.

Properties
SG: Immm
D(E_F) (states/eV/cell): 7.7
Volume (Å³ per cell): 242
Formation energy from the elements (meV/atom): -32

Geometry as CIF:
```
data_AcPm5Ru2
_space_group_name_H-M_alt 'P 1'
_space_group_IT_number 1
_space_group_name_Hall 'P 1'
_cell_length_a 4.920
_cell_length_b 7.576
_cell_length_c 7.576
_cell_angle_alpha 68.62
_cell_angle_beta 71.05
_cell_angle_gamma 71.05
loop_
_atom_site_label
_atom_site_type_symbol
_atom_site_fract_x
_atom_site_fract_y
_atom_site_fract_z
Pm1 Pm 0.338 0.467 0.856
Pm2 Pm 0.000 0.500 0.500
Pm3 Pm 0.662 0.144 0.533
Pm4 Pm 0.662 0.533 0.144
Pm5 Pm 0.338 0.856 0.467
Ru1 Ru 0.745 0.755 0.755
Ru2 Ru 0.255 0.245 0.245
Ac1 Ac 0.000 0.000 0.000
```

---

VASP calculation (GGA-PBE) on a relaxed LiZn14Ru crystal.

Properties
SG: P4/mmm
D(E_F) (states/eV/cell): 6.3
Volume (Å³ per cell): 233
Formation energy from the elements (meV/atom): -66

Geometry as CIF:
```
data_LiZn14Ru
_space_group_name_H-M_alt 'P 1'
_space_group_IT_number 1
_space_group_name_Hall 'P 1'
_cell_length_a 5.415
_cell_length_b 5.415
_cell_length_c 7.935
_cell_angle_alpha 90.00
_cell_angle_beta 90.00
_cell_angle_gamma 90.02
loop_
_atom_site_label
_atom_site_type_symbol
_atom_site_fract_x
_atom_site_fract_y
_atom_site_fract_z
Zn1 Zn 0.875 0.375 0.000
Zn2 Zn 0.123 0.123 0.750
Zn3 Zn 0.627 0.123 0.750
Zn4 Zn 0.123 0.123 0.250
Zn5 Zn 0.123 0.627 0.750
Zn6 Zn 0.875 0.375 0.500
Zn7 Zn 0.375 0.875 0.000
Zn8 Zn 0.627 0.627 0.250
Zn9 Zn 0.627 0.123 0.250
Zn10 Zn 0.875 0.875 0.000
Zn11 Zn 0.123 0.627 0.250
Zn12 Zn 0.375 0.375 0.000
Zn13 Zn 0.375 0.875 0.500
Zn14 Zn 0.627 0.627 0.750
Li1 Li 0.375 0.375 0.500
Ru1 Ru 0.875 0.875 0.500
```

---

VASP calculation (GGA-PBE) on a relaxed CdMo2As crystal.

Properties
SG: C2/m
D(E_F) (states/eV/cell): 3.7
Volume (Å³ per cell): 68
Distance to the lowest polymorph of the same formula (eV/atom): 0.3561
Formation energy from the elements (meV/atom): 502

Geometry as CIF:
```
data_CdMo2As
_space_group_name_H-M_alt 'P 1'
_space_group_IT_number 1
_space_group_name_Hall 'P 1'
_cell_length_a 5.286
_cell_length_b 5.286
_cell_length_c 2.854
_cell_angle_alpha 79.71
_cell_angle_beta 79.71
_cell_angle_gamma 115.00
loop_
_atom_site_label
_atom_site_type_symbol
_atom_site_fract_x
_atom_site_fract_y
_atom_site_fract_z
As1 As 0.500 0.000 0.500
Mo1 Mo 0.500 0.500 0.000
Mo2 Mo 0.000 0.000 0.000
Cd1 Cd 0.000 0.500 0.500
```

---

VASP calculation (GGA-PBE) on a relaxed ZrNi2Cl crystal.

Properties
Formation energy without anion corrections (eV/atom): -0.17
SG: P4/mmm
D(E_F) (states/eV/cell): 2.5
Volume (Å³ per cell): 64
Distance to the lowest polymorph of the same formula (eV/atom): 0.1531

Geometry as CIF:
```
data_ZrNi2Cl
_space_group_name_H-M_alt 'P 1'
_space_group_IT_number 1
_space_group_name_Hall 'P 1'
_cell_length_a 3.456
_cell_length_b 3.453
_cell_length_c 5.353
_cell_angle_alpha 90.00
_cell_angle_beta 90.00
_cell_angle_gamma 90.00
loop_
_atom_site_label
_atom_site_type_symbol
_atom_site_fract_x
_atom_site_fract_y
_atom_site_fract_z
Ni1 Ni 0.000 0.000 0.473
Ni2 Ni 0.000 0.000 0.027
Cl1 Cl 0.500 0.500 0.750
Zr1 Zr 0.500 0.500 0.250
```

---

- Which value of D(E_F) does entry 6 give?
  2.5 states/eV/cell